Entry 1:
PBE Pm3Al2Zn3, optimized geometry; symmetry = Cmcm, No. 63; DOS at the Fermi energy = 11.46 states/eV/cell; energy of formation from the pure elements = -0.391 eV/atom; crystal system = orthorhombic
1.0
-2.976 -1.429 -3.105
4.514 -3.654 0.663
-7.505 -7.352 10.577
Pm Al Zn
6 4 6
direct
0.906 0.812 0.391
0.094 0.188 0.891
0.906 0.812 0.109
0.094 0.188 0.609
0.616 0.233 0.250
0.384 0.767 0.750
0.798 0.596 0.903
0.202 0.404 0.403
0.798 0.596 0.597
0.202 0.404 0.097
0.613 0.226 0.465
0.387 0.774 0.965
0.613 0.226 0.035
0.387 0.774 0.535
0.323 0.647 0.250
0.677 0.353 0.750

---

Entry 2:
PBE Pm2Al5Zn2, optimized geometry; symmetry = P4/mmm, No. 123; DOS at the Fermi energy = 5.26 states/eV/cell; energy of formation from the pure elements = -0.355 eV/atom; crystal system = tetragonal
1.0
-1.524 -1.842 3.477
3.216 -2.731 -0.037
5.421 6.307 5.718
Pm Al Zn
2 5 2
direct
0.000 0.000 0.000
0.000 0.000 0.500
0.500 0.000 0.273
0.500 0.000 0.727
0.000 0.500 0.273
0.000 0.500 0.727
0.500 0.500 0.500
0.500 0.500 0.118
0.500 0.500 0.882

---

Entry 3:
PBE Pm3Al7Zn2, optimized geometry; symmetry = R-3m, No. 166; DOS at the Fermi energy = 2.37 states/eV/cell; energy of formation from the pure elements = -0.437 eV/atom; crystal system = trigonal
1.0
5.359 0.000 1.677
2.417 4.783 1.677
0.020 0.013 9.334
Pm Al Zn
3 7 2
direct
0.000 0.000 0.000
0.859 0.859 0.422
0.141 0.141 0.578
0.500 0.500 0.500
0.924 0.416 0.244
0.416 0.924 0.244
0.416 0.416 0.244
0.076 0.584 0.756
0.584 0.584 0.756
0.584 0.076 0.756
0.665 0.665 0.005
0.335 0.335 0.995

---

Entry 4:
PBE PmAl2Zn3, optimized geometry; symmetry = Immm, No. 71; DOS at the Fermi energy = 2.66 states/eV/cell; energy of formation from the pure elements = -0.254 eV/atom; relative energy among the computed polymorphs = 0 meV per atom; crystal system = orthorhombic
1.0
-3.903 2.116 0.483
-3.593 -3.399 6.497
0.044 3.068 7.564
Pm Al Zn
2 4 6
direct
0.865 0.135 0.136
0.135 0.865 0.864
0.500 0.170 0.830
0.500 0.830 0.170
0.819 0.681 0.681
0.181 0.319 0.319
0.326 0.471 0.878
0.000 0.338 0.662
0.674 0.123 0.529
0.326 0.877 0.471
0.000 0.662 0.338
0.674 0.529 0.122

---

Entry 5:
PBE PmAl2Zn3, optimized geometry; symmetry = I4/mmm, No. 139; DOS at the Fermi energy = 5.84 states/eV/cell; energy of formation from the pure elements = -0.235 eV/atom; relative energy among the computed polymorphs = 19 meV per atom; crystal system = tetragonal
1.0
-0.390 3.898 -1.368
-0.454 -1.406 -3.878
-13.033 -1.950 4.454
Pm Al Zn
2 4 6
direct
0.851 0.851 0.703
0.149 0.149 0.297
0.250 0.750 0.500
0.750 0.250 0.500
0.398 0.398 0.797
0.602 0.602 0.203
0.455 0.955 0.909
0.955 0.455 0.909
0.545 0.045 0.091
0.307 0.307 0.615
0.693 0.693 0.385
0.045 0.545 0.091

---

Entry 6:
PBE Pm6Al2Zn, optimized geometry; symmetry = C2/m, No. 12; DOS at the Fermi energy = 12.44 states/eV/cell; energy of formation from the pure elements = -0.006 eV/atom; relative energy among the computed polymorphs = 183 meV per atom; crystal system = monoclinic
1.0
5.110 0.000 -0.188
0.000 7.298 0.000
-2.260 -3.649 7.734
Pm Al Zn
6 2 1
direct
0.164 0.413 0.330
0.836 0.083 0.670
0.836 0.587 0.670
0.500 0.246 0.000
0.164 0.917 0.330
0.500 0.754 0.000
0.666 0.667 0.333
0.334 0.333 0.667
0.000 0.000 0.000